# PBE-GGA Co2PtRh9, relaxed
# spin magnetization: 0.481 μB/atom
# energy of formation from the pure elements: 0.35 eV per formula unit
# uncorrected energy: -86.07 eV per cell
data_Co2PtRh9
_symmetry_space_group_name_H-M 'P 1'
_symmetry_Int_Tables_number 1
_cell_length_a 3.822
_cell_length_b 3.822
_cell_length_c 11.413
_cell_angle_alpha 90.00
_cell_angle_beta 90.00
_cell_angle_gamma 90.00
loop_
_symmetry_equiv_pos_as_xyz
'x,y,z'
loop_
_atom_site_label
_atom_site_type_symbol
_atom_site_fract_x
_atom_site_fract_y
_atom_site_fract_z
_atom_site_occupancy
Rh1 Rh 0.500 0.000 0.500 1
Rh2 Rh 0.500 0.500 0.336 1
Rh3 Rh 0.500 0.000 0.827 1
Rh4 Rh 0.000 0.500 0.173 1
Co1 Co 0.000 0.000 0.334 1
Rh5 Rh 0.500 0.000 0.173 1
Co2 Co 0.000 0.000 0.666 1
Rh6 Rh 0.500 0.500 0.000 1
Rh7 Rh 0.000 0.500 0.827 1
Pt1 Pt 0.000 0.000 0.000 1
Rh8 Rh 0.500 0.500 0.664 1
Rh9 Rh 0.000 0.500 0.500 1



# PBE-GGA CoPtRh14, relaxed
# spin magnetization: 0.213 μB/atom
# energy of formation from the pure elements: 0.31 eV per formula unit
# uncorrected energy: -115.75 eV per cell
data_CoPtRh14
_symmetry_space_group_name_H-M 'P 1'
_symmetry_Int_Tables_number 1
_cell_length_a 5.423
_cell_length_b 5.423
_cell_length_c 8.876
_cell_angle_alpha 90.00
_cell_angle_beta 90.00
_cell_angle_gamma 119.99
loop_
_symmetry_equiv_pos_as_xyz
'x,y,z'
loop_
_atom_site_label
_atom_site_type_symbol
_atom_site_fract_x
_atom_site_fract_y
_atom_site_fract_z
_atom_site_occupancy
Rh1 Rh 0.208 0.792 0.000 1
Rh2 Rh 0.878 0.628 0.748 1
Rh3 Rh 0.541 0.957 0.500 1
Rh4 Rh 0.876 0.124 0.253 1
Rh5 Rh 0.374 0.626 0.249 1
Pt1 Pt 0.541 0.459 0.500 1
Rh6 Rh 0.374 0.626 0.751 1
Rh7 Rh 0.708 0.292 0.000 1
Rh8 Rh 0.878 0.628 0.252 1
Rh9 Rh 0.208 0.291 0.000 1
Rh10 Rh 0.372 0.122 0.748 1
Rh11 Rh 0.372 0.122 0.252 1
Rh12 Rh 0.043 0.459 0.500 1
Rh13 Rh 0.709 0.792 0.000 1
Rh14 Rh 0.876 0.124 0.747 1
Co1 Co 0.042 0.958 0.500 1



# PBE-GGA Co6PtRh, relaxed
# spin magnetization: 1.468 μB/atom
# energy of formation from the pure elements: -0.34 eV per formula unit
# uncorrected energy: -56.37 eV per cell
data_Co6PtRh
_symmetry_space_group_name_H-M 'P 1'
_symmetry_Int_Tables_number 1
_cell_length_a 4.118
_cell_length_b 5.208
_cell_length_c 5.208
_cell_angle_alpha 120.01
_cell_angle_beta 90.00
_cell_angle_gamma 90.00
loop_
_symmetry_equiv_pos_as_xyz
'x,y,z'
loop_
_atom_site_label
_atom_site_type_symbol
_atom_site_fract_x
_atom_site_fract_y
_atom_site_fract_z
_atom_site_occupancy
Rh1 Rh 0.500 0.417 0.583 1
Co1 Co 0.000 0.591 0.932 1
Co2 Co 0.000 0.068 0.409 1
Co3 Co 0.500 0.434 0.092 1
Co4 Co 0.500 0.908 0.092 1
Pt1 Pt 0.000 0.083 0.917 1
Co5 Co 0.500 0.908 0.566 1
Co6 Co 0.000 0.591 0.409 1



# PBE-GGA Co4PtRh, relaxed
# spin magnetization: 1.431 μB/atom
# energy relative to the lowest polymorph listed for this composition: 24 meV/atom
# energy of formation from the pure elements: 0.09 eV per formula unit
# uncorrected energy: -41.72 eV per cell
data_Co4PtRh
_symmetry_space_group_name_H-M 'P 1'
_symmetry_Int_Tables_number 1
_cell_length_a 4.727
_cell_length_b 4.727
_cell_length_c 4.727
_cell_angle_alpha 60.00
_cell_angle_beta 60.00
_cell_angle_gamma 60.00
loop_
_symmetry_equiv_pos_as_xyz
'x,y,z'
loop_
_atom_site_label
_atom_site_type_symbol
_atom_site_fract_x
_atom_site_fract_y
_atom_site_fract_z
_atom_site_occupancy
Pt1 Pt 0.250 0.250 0.250 1
Co1 Co 0.625 0.625 0.125 1
Co2 Co 0.625 0.625 0.625 1
Co3 Co 0.125 0.625 0.625 1
Rh1 Rh 0.000 0.000 0.000 1
Co4 Co 0.625 0.125 0.625 1



# PBE-GGA CoPtRh, relaxed
# spin magnetization: 0.869 μB/atom
# energy relative to the lowest polymorph listed for this composition: 29 meV/atom
# energy of formation from the pure elements: -0.01 eV per formula unit
# uncorrected energy: -20.51 eV per cell
data_CoPtRh
_symmetry_space_group_name_H-M 'P 1'
_symmetry_Int_Tables_number 1
_cell_length_a 2.709
_cell_length_b 2.709
_cell_length_c 6.552
_cell_angle_alpha 90.00
_cell_angle_beta 90.00
_cell_angle_gamma 120.00
loop_
_symmetry_equiv_pos_as_xyz
'x,y,z'
loop_
_atom_site_label
_atom_site_type_symbol
_atom_site_fract_x
_atom_site_fract_y
_atom_site_fract_z
_atom_site_occupancy
Rh1 Rh 0.333 0.667 0.684 1
Co1 Co 0.000 0.000 0.994 1
Pt1 Pt 0.667 0.333 0.322 1



# PBE-GGA Co4Pt11Rh9, relaxed
# spin magnetization: 0.626 μB/atom
# energy of formation from the pure elements: 0.92 eV per formula unit
# uncorrected energy: -160.12 eV per cell
data_Co4Pt11Rh9
_symmetry_space_group_name_H-M 'P 1'
_symmetry_Int_Tables_number 1
_cell_length_a 2.735
_cell_length_b 11.979
_cell_length_c 11.979
_cell_angle_alpha 116.16
_cell_angle_beta 90.00
_cell_angle_gamma 90.00
loop_
_symmetry_equiv_pos_as_xyz
'x,y,z'
loop_
_atom_site_label
_atom_site_type_symbol
_atom_site_fract_x
_atom_site_fract_y
_atom_site_fract_z
_atom_site_occupancy
Co1 Co 0.500 0.765 0.578 1
Rh1 Rh 0.500 0.500 0.500 1
Pt1 Pt 0.000 0.965 0.598 1
Pt2 Pt 0.000 0.383 0.617 1
Rh2 Rh 0.500 0.823 0.386 1
Rh3 Rh 0.500 0.177 0.614 1
Rh4 Rh 0.500 0.796 0.971 1
Rh5 Rh 0.500 0.386 0.823 1
Pt3 Pt 0.000 0.402 0.035 1
Co2 Co 0.500 0.422 0.235 1
Co3 Co 0.500 0.235 0.422 1
Pt4 Pt 0.000 0.818 0.182 1
Pt5 Pt 0.000 0.617 0.383 1
Rh6 Rh 0.500 0.029 0.204 1
Pt6 Pt 0.000 0.000 0.000 1
Pt7 Pt 0.000 0.754 0.754 1
Pt8 Pt 0.000 0.246 0.246 1
Pt9 Pt 0.000 0.598 0.965 1
Rh7 Rh 0.500 0.204 0.029 1
Pt10 Pt 0.000 0.035 0.402 1
Rh8 Rh 0.500 0.614 0.177 1
Pt11 Pt 0.000 0.182 0.818 1
Co4 Co 0.500 0.578 0.765 1
Rh9 Rh 0.500 0.971 0.796 1



# PBE-GGA CoPt2Rh, relaxed
# spin magnetization: 0.688 μB/atom
# energy of formation from the pure elements: -0.16 eV per formula unit
# uncorrected energy: -26.70 eV per cell
data_CoPt2Rh
_symmetry_space_group_name_H-M 'P 1'
_symmetry_Int_Tables_number 1
_cell_length_a 4.725
_cell_length_b 4.725
_cell_length_c 4.725
_cell_angle_alpha 131.99
_cell_angle_beta 131.98
_cell_angle_gamma 70.26
loop_
_symmetry_equiv_pos_as_xyz
'x,y,z'
loop_
_atom_site_label
_atom_site_type_symbol
_atom_site_fract_x
_atom_site_fract_y
_atom_site_fract_z
_atom_site_occupancy
Pt1 Pt 0.000 0.000 0.000 1
Rh1 Rh 0.500 0.500 0.000 1
Co1 Co 0.250 0.750 0.500 1
Pt2 Pt 0.750 0.250 0.500 1



# PBE-GGA CoPt6Rh, relaxed
# spin magnetization: 0.520 μB/atom
# energy of formation from the pure elements: -0.37 eV per formula unit
# uncorrected energy: -51.07 eV per cell
data_CoPt6Rh
_symmetry_space_group_name_H-M 'P 1'
_symmetry_Int_Tables_number 1
_cell_length_a 3.910
_cell_length_b 3.910
_cell_length_c 7.846
_cell_angle_alpha 90.00
_cell_angle_beta 90.00
_cell_angle_gamma 90.00
loop_
_symmetry_equiv_pos_as_xyz
'x,y,z'
loop_
_atom_site_label
_atom_site_type_symbol
_atom_site_fract_x
_atom_site_fract_y
_atom_site_fract_z
_atom_site_occupancy
Pt1 Pt 0.000 0.500 0.744 1
Pt2 Pt 0.500 0.000 0.256 1
Pt3 Pt 0.500 0.500 0.000 1
Pt4 Pt 0.500 0.500 0.500 1
Co1 Co 0.000 0.000 0.500 1
Pt5 Pt 0.500 0.000 0.744 1
Pt6 Pt 0.000 0.500 0.256 1
Rh1 Rh 0.000 0.000 0.000 1



# PBE-GGA Co2PtRhSe6, relaxed
# spin magnetization: 0.000 μB/atom
# uncorrected formation energy: -0.265 eV/atom
# uncorrected energy: -102.32 eV per cell
data_Co2PtRhSe6
_symmetry_space_group_name_H-M 'P 1'
_symmetry_Int_Tables_number 1
_cell_length_a 6.384
_cell_length_b 7.959
_cell_length_c 7.959
_cell_angle_alpha 97.53
_cell_angle_beta 76.25
_cell_angle_gamma 76.25
loop_
_symmetry_equiv_pos_as_xyz
'x,y,z'
loop_
_atom_site_label
_atom_site_type_symbol
_atom_site_fract_x
_atom_site_fract_y
_atom_site_fract_z
_atom_site_occupancy
Se1 Se 0.162 0.939 0.789 1
Co1 Co 0.232 0.466 0.290 1
Se2 Se 0.924 0.690 0.499 1
Co2 Co 0.732 0.290 0.466 1
Se3 Se 0.576 0.501 0.310 1
Se4 Se 0.660 0.079 0.633 1
Se5 Se 0.076 0.310 0.501 1
Pt1 Pt 0.250 0.236 0.764 1
Rh1 Rh 0.750 0.085 0.915 1
Se6 Se 0.838 0.061 0.211 1
Se7 Se 0.160 0.633 0.079 1
Se8 Se 0.662 0.789 0.939 1
Se9 Se 0.338 0.211 0.061 1
Co3 Co 0.768 0.534 0.710 1
Rh2 Rh 0.250 0.915 0.085 1
Co4 Co 0.268 0.710 0.534 1
Pt2 Pt 0.750 0.764 0.236 1
Se10 Se 0.840 0.367 0.921 1
Se11 Se 0.340 0.921 0.367 1
Se12 Se 0.424 0.499 0.690 1



# PBE-GGA CoSnPtRh, relaxed
# spin magnetization: 0.399 μB/atom
# energy of formation from the pure elements: -0.50 eV per formula unit
# uncorrected energy: -25.00 eV per cell
data_CoSnPtRh
_symmetry_space_group_name_H-M 'P 1'
_symmetry_Int_Tables_number 1
_cell_length_a 4.438
_cell_length_b 4.438
_cell_length_c 4.438
_cell_angle_alpha 60.00
_cell_angle_beta 60.00
_cell_angle_gamma 60.00
loop_
_symmetry_equiv_pos_as_xyz
'x,y,z'
loop_
_atom_site_label
_atom_site_type_symbol
_atom_site_fract_x
_atom_site_fract_y
_atom_site_fract_z
_atom_site_occupancy
Sn1 Sn 0.250 0.250 0.250 1
Rh1 Rh 0.000 0.000 0.000 1
Pt1 Pt 0.500 0.500 0.500 1
Co1 Co 0.750 0.750 0.750 1



# PBE-GGA TaCoPtRh, relaxed
# spin magnetization: 0.201 μB/atom
# energy of formation from the pure elements: -2.18 eV per formula unit
# uncorrected energy: -34.54 eV per cell
data_TaCoPtRh
_symmetry_space_group_name_H-M 'P 1'
_symmetry_Int_Tables_number 1
_cell_length_a 3.791
_cell_length_b 3.863
_cell_length_c 3.920
_cell_angle_alpha 90.00
_cell_angle_beta 90.00
_cell_angle_gamma 90.00
loop_
_symmetry_equiv_pos_as_xyz
'x,y,z'
loop_
_atom_site_label
_atom_site_type_symbol
_atom_site_fract_x
_atom_site_fract_y
_atom_site_fract_z
_atom_site_occupancy
Ta1 Ta 0.000 0.500 0.500 1
Pt1 Pt 0.000 0.000 0.000 1
Co1 Co 0.500 0.500 0.000 1
Rh1 Rh 0.500 0.000 0.500 1